Record 1
Here is Re3GeTe after structural relaxation from Alexandria via LeMat-Bulk. Energies are from GGA-PBE.

Computed properties:
Volume (Å³ per cell): 99.2
DOS at the Fermi energy (states/eV/atom): 1.00
Relative energy among the computed polymorphs (eV per formula unit): 0.00
Uncorrected energy (eV per atom): -7.196
SG: No. 221
Uncorrected formation energy (meV per atom): 1825

Lattice parameters (Å, degrees): 4.629 4.629 4.629 90.00 90.00 90.00
Atoms (fractional coordinates):
Re  0.000  0.000  0.500
Re  0.000  0.500  0.000
Re  0.500  0.000  0.000
Ge  0.000  0.000  0.000
Te  0.500  0.500  0.500

***

Record 2
Here is CsBr2N after structural relaxation from Alexandria via LeMat-Bulk. Energies are from GGA-PBE.

Computed properties:
Volume (Å³ per cell): 155.3
DOS at the Fermi energy (states/eV/atom): 1.68
Relative energy among the computed polymorphs (eV per formula unit): 2.51
Uncorrected energy (eV per atom): -2.518
SG: No. 225
Uncorrected formation energy (meV per atom): 613

Lattice parameters (Å, degrees): 6.033 6.033 6.033 60.00 60.00 60.00
Atoms (fractional coordinates):
Br  0.750  0.750  0.750
Br  0.250  0.250  0.250
Cs  0.500  0.500  0.500
N  0.000  0.000  0.000

***

Record 3
Here is GdYMnOs after structural relaxation from Alexandria via LeMat-Bulk. Energies are from GGA-PBE.

Computed properties:
Volume (Å³ per cell): 84.9
DOS at the Fermi energy (states/eV/atom): 0.64
ΔE_f (meV per atom): 58
Uncorrected energy (eV per atom): -10.178
SG: No. 216

Lattice parameters (Å, degrees): 4.933 4.933 4.933 60.00 60.00 60.00
Atoms (fractional coordinates):
Os  0.500  0.500  0.500
Y  0.750  0.750  0.750
Mn  0.000  0.000  0.000
Gd  0.250  0.250  0.250

***

Record 4
Here is MnNb3Sb after structural relaxation from Alexandria via LeMat-Bulk. Energies are from GGA-PBE.

Computed properties:
Volume (Å³ per cell): 99.6
DOS at the Fermi energy (states/eV/atom): 1.40
Relative energy among the computed polymorphs (eV per formula unit): 0.00
Uncorrected energy (eV per atom): -8.203
SG: No. 221
Uncorrected formation energy (meV per atom): 497

Lattice parameters (Å, degrees): 4.636 4.636 4.636 90.00 90.00 90.00
Atoms (fractional coordinates):
Nb  0.000  0.500  0.000
Nb  0.000  0.000  0.500
Nb  0.500  0.000  0.000
Mn  0.000  0.000  0.000
Sb  0.500  0.500  0.500

***

Record 5
Here is SrIrPt2 after structural relaxation from Alexandria via LeMat-Bulk. Energies are from GGA-PBE.

Computed properties:
Volume (Å³ per cell): 75.9
DOS at the Fermi energy (states/eV/atom): 1.62
Relative energy among the computed polymorphs (eV per formula unit): 1.07
ΔE_f (meV per atom): 171
Uncorrected energy (eV per atom): -5.485
SG: No. 225

Lattice parameters (Å, degrees): 4.752 4.752 4.752 60.00 60.00 60.00
Atoms (fractional coordinates):
Pt  0.750  0.750  0.750
Pt  0.250  0.250  0.250
Ir  0.500  0.500  0.500
Sr  0.000  0.000  0.000

***

Record 6
Here is U5As5N after structural relaxation from Alexandria via LeMat-Bulk. Energies are from GGA-PBE.

Computed properties:
Volume (Å³ per cell): 258.3
DOS at the Fermi energy (states/eV/atom): 1.82
Uncorrected energy (eV per atom): -8.577
SG: No. 12
Uncorrected formation energy (meV per atom): -576

Lattice parameters (Å, degrees): 5.614 6.945 7.663 107.36 90.00 113.84
Atoms (fractional coordinates):
N  0.000  0.000  0.000
As  0.312  0.624  0.667
As  0.345  0.690  0.190
As  0.655  0.310  0.810
As  0.000  0.000  0.500
As  0.688  0.376  0.333
U  0.500  0.000  0.000
U  0.150  0.300  0.297
U  0.850  0.700  0.703
U  0.855  0.709  0.141
U  0.145  0.291  0.859